Computed, not measured: TlTe after structural relaxation at the PBE-GGA level of DFT.

Values from the calculation:
**Mass density**: 8.20 g/cm3
**DFT total energy**: -2.883 eV/atom
**Formation energy (no corrections)**: -0.1288 eV per atom
**Crystal system**: tetragonal

```
data_TlTe
_chemical_formula_sum 'Tl8 Te8'
_cell_length_a 9.7673
_cell_length_b 9.7673
_cell_length_c 9.7673
_cell_angle_alpha 95.95
_cell_angle_beta 95.95
_cell_angle_gamma 142.45
_symmetry_space_group_name_H-M 'P 1'
_symmetry_Int_Tables_number 1
loop_
_symmetry_equiv_pos_as_xyz
'x,y,z'
loop_
_atom_site_label
_atom_site_fract_x
_atom_site_fract_y
_atom_site_fract_z
Tl1 0.0827 0.7764 0.8591
Tl2 0.2236 0.0827 0.3063
Tl3 0.2764 0.5827 0.8591
Tl4 0.4173 0.2764 0.6937
Tl5 0.5827 0.7236 0.3063
Tl6 0.7236 0.4173 0.1409
Tl7 0.7764 0.9173 0.6937
Tl8 0.9173 0.2236 0.1409
Te1 0.1623 0.3377 0.5000
Te2 0.2500 0.2500 0.0000
Te3 0.2500 0.7500 0.5000
Te4 0.3377 0.8377 0.1754
Te5 0.6623 0.1623 0.8246
Te6 0.7500 0.2500 0.5000
Te7 0.7500 0.7500 0.0000
Te8 0.8377 0.6623 0.5000
```